Record 1
A relaxed KAg4As2 crystal, computed with PBE-GGA.

abc: 4.4569 15.0046 4.5162
angles: 90.00 90.00 90.00
Atoms (fractional coordinates):
K1 0.0000 0.0000 0.0000
K2 0.5000 0.5000 0.0000
Ag1 0.0000 0.1871 0.5000
Ag2 0.0000 0.3149 0.0000
Ag3 0.0000 0.6851 0.0000
Ag4 0.0000 0.8129 0.5000
Ag5 0.5000 0.1851 0.0000
Ag6 0.5000 0.3129 0.5000
Ag7 0.5000 0.6871 0.5000
Ag8 0.5000 0.8149 0.0000
As1 0.0000 0.4144 0.5000
As2 0.0000 0.5856 0.5000
As3 0.5000 0.0856 0.5000
As4 0.5000 0.9144 0.5000

Computed properties:
The density of states at the Fermi level comes out at 5.7 states/eV/cell.

Record 2
A relaxed KGa2OsRh crystal, computed with PBE-GGA.

abc: 4.8930 4.8930 4.8765
angles: 90.00 90.00 90.00
Atoms (fractional coordinates):
K1 0.0000 0.0000 0.0000
Ga1 0.0000 0.5000 0.5000
Ga2 0.5000 0.0000 0.5000
Os1 0.5000 0.5000 0.5000
Rh1 0.5000 0.5000 0.0000

Computed properties:
The density of states at the Fermi level comes out at 2.6 states/eV/cell.

Record 3
A relaxed NaSi2HgI crystal, computed with PBE-GGA.

abc: 5.3328 5.3328 5.4331
angles: 90.00 90.00 90.00
Atoms (fractional coordinates):
Na1 0.0000 0.0000 0.0000
Si1 0.0000 0.5000 0.0000
Si2 0.5000 0.0000 0.0000
Hg1 0.0000 0.0000 0.5000
I1 0.5000 0.5000 0.5000

Computed properties:
For the formation energy without anion corrections, the calculation gives 1024 meV per atom. The density of states at the Fermi level comes out at 2.6 states/eV/cell.

Record 4
A relaxed TiZn4Tc crystal, computed with PBE-GGA.

abc: 4.9319 4.9319 4.9319
angles: 60.00 60.00 60.00
Atoms (fractional coordinates):
Ti1 0.0000 0.0000 0.0000
Zn1 0.3755 0.3755 0.3755
Zn2 0.3755 0.3755 0.8736
Zn3 0.3755 0.8736 0.3755
Zn4 0.8736 0.3755 0.3755
Tc1 0.7500 0.7500 0.7500

Computed properties:
The density of states at the Fermi level comes out at 2.1 states/eV/cell.

Record 5
A relaxed LiZr3Pt4 crystal, computed with PBE-GGA.

abc: 13.0359 4.4792 5.0831
angles: 90.00 101.70 90.00
Atoms (fractional coordinates):
Li1 0.0000 0.0000 0.0000
Li2 0.5000 0.5000 0.0000
Zr1 0.0000 0.5000 0.5000
Zr2 0.2272 0.0000 0.2527
Zr3 0.2728 0.5000 0.7472
Zr4 0.5000 0.0000 0.5000
Zr5 0.7272 0.5000 0.2527
Zr6 0.7728 0.0000 0.7472
Pt1 0.1100 0.5000 0.0510
Pt2 0.1395 0.0000 0.6979
Pt3 0.3605 0.5000 0.3021
Pt4 0.3900 0.0000 0.9490
Pt5 0.6100 0.0000 0.0510
Pt6 0.6395 0.5000 0.6979
Pt7 0.8605 0.0000 0.3021
Pt8 0.8900 0.5000 0.9490

Computed properties:
The density of states at the Fermi level comes out at 9.7 states/eV/cell.

Record 6
A relaxed Nd4TlIn5 crystal, computed with PBE-GGA.

abc: 7.3098 10.5428 7.9882
angles: 90.00 90.00 90.00
Atoms (fractional coordinates):
Nd1 0.0065 0.2500 0.1915
Nd2 0.2500 0.5664 0.4896
Nd3 0.2500 0.9336 0.4896
Nd4 0.4935 0.2500 0.1915
Nd5 0.5065 0.7500 0.8085
Nd6 0.7500 0.0664 0.5104
Nd7 0.7500 0.4336 0.5104
Nd8 0.9935 0.7500 0.8085
Tl1 0.2500 0.2500 0.5422
Tl2 0.7500 0.7500 0.4578
In1 0.0487 0.0597 0.8297
In2 0.0487 0.4403 0.8297
In3 0.2500 0.7500 0.1386
In4 0.4513 0.0597 0.8297
In5 0.4513 0.4403 0.8297
In6 0.5487 0.5597 0.1703
In7 0.5487 0.9403 0.1703
In8 0.7500 0.2500 0.8614
In9 0.9513 0.5597 0.1703
In10 0.9513 0.9403 0.1703

Computed properties:
The density of states at the Fermi level comes out at 18.9 states/eV/cell.

Record 7
A relaxed Mg2CuW crystal, computed with PBE-GGA.

abc: 5.6329 9.0318 2.6674
angles: 90.00 103.87 90.00
Atoms (fractional coordinates):
Mg1 0.2500 0.2500 0.0000
Mg2 0.2500 0.7500 0.0000
Mg3 0.7500 0.2500 0.0000
Mg4 0.7500 0.7500 0.0000
Cu1 0.0000 0.0000 0.5000
Cu2 0.5000 0.5000 0.5000
W1 0.0000 0.5000 0.5000
W2 0.5000 0.0000 0.5000

Computed properties:
The density of states at the Fermi level comes out at 3.2 states/eV/cell.

Record 8
A relaxed PmNd3Hg4 crystal, computed with PBE-GGA.

abc: 5.4047 5.4047 15.4044
angles: 90.00 90.00 90.00
Atoms (fractional coordinates):
Pm1 0.0000 0.0000 0.0000
Pm2 0.5000 0.5000 0.5000
Nd1 0.0000 0.0000 0.2494
Nd2 0.0000 0.0000 0.5000
Nd3 0.0000 0.0000 0.7506
Nd4 0.5000 0.5000 0.0000
Nd5 0.5000 0.5000 0.2506
Nd6 0.5000 0.5000 0.7494
Hg1 0.0000 0.5000 0.1242
Hg2 0.0000 0.5000 0.3758
Hg3 0.0000 0.5000 0.6242
Hg4 0.0000 0.5000 0.8758
Hg5 0.5000 0.0000 0.1242
Hg6 0.5000 0.0000 0.3758
Hg7 0.5000 0.0000 0.6242
Hg8 0.5000 0.0000 0.8758

Computed properties:
The density of states at the Fermi level comes out at 16.9 states/eV/cell.

Record 9
A relaxed Tb6Sm5Mg crystal, computed with PBE-GGA.

abc: 9.4155 9.4155 9.4155
angles: 148.88 115.18 73.65
Atoms (fractional coordinates):
Tb1 0.0813 0.8336 0.2477
Tb2 0.2496 0.5000 0.7496
Tb3 0.4141 0.1664 0.2477
Tb4 0.5859 0.8336 0.7523
Tb5 0.7504 0.5000 0.2504
Tb6 0.9187 0.1664 0.7523
Sm1 0.1672 0.6672 0.5000
Sm2 0.3343 0.3343 0.0000
Sm3 0.5000 0.0000 0.5000
Sm4 0.6657 0.6657 0.0000
Sm5 0.8328 0.3328 0.5000
Mg1 0.0000 0.0000 0.0000

Computed properties:
The density of states at the Fermi level comes out at 16.3 states/eV/cell.

Record 10
A relaxed MgSnMoAu2 crystal, computed with PBE-GGA.

abc: 5.1227 5.1227 5.1221
angles: 90.00 90.00 90.00
Atoms (fractional coordinates):
Mg1 0.0000 0.0000 0.0000
Sn1 0.5000 0.5000 0.0000
Mo1 0.5000 0.5000 0.5000
Au1 0.0000 0.5000 0.5000
Au2 0.5000 0.0000 0.5000

Computed properties:
The density of states at the Fermi level comes out at 4.6 states/eV/cell.

Record 11
A relaxed Zr2IrPb crystal, computed with PBE-GGA.

abc: 4.4355 4.4428 8.4704
angles: 90.00 90.00 90.00
Atoms (fractional coordinates):
Zr1 0.0000 0.0000 0.2135
Zr2 0.0000 0.0000 0.7865
Zr3 0.5000 0.5000 0.2135
Zr4 0.5000 0.5000 0.7865
Ir1 0.0000 0.5000 0.0000
Ir2 0.5000 0.0000 0.0000
Pb1 0.0000 0.5000 0.5000
Pb2 0.5000 0.0000 0.5000

Computed properties:
The density of states at the Fermi level comes out at 7.4 states/eV/cell.

Record 12
A relaxed ReNiRu2 crystal, computed with PBE-GGA.

abc: 2.7777 4.3665 8.9356
angles: 90.00 90.00 90.00
Atoms (fractional coordinates):
Re1 0.0000 0.0000 0.0000
Re2 0.5000 0.5000 0.5000
Ni1 0.0000 0.0000 0.5000
Ni2 0.5000 0.5000 0.0000
Ru1 0.0000 0.5000 0.2274
Ru2 0.0000 0.5000 0.7726
Ru3 0.5000 0.0000 0.2726
Ru4 0.5000 0.0000 0.7274

Computed properties:
The density of states at the Fermi level comes out at 11.7 states/eV/cell.

Record 13
A relaxed RbH2F4 crystal, computed with PBE-GGA.

abc: 4.1325 7.0457 7.4678
angles: 81.02 82.87 80.18
Atoms (fractional coordinates):
Rb1 0.0000 0.0000 0.0000
Rb2 0.3984 0.3727 0.4786
H1 0.1764 0.0015 0.4338
H2 0.4054 0.4293 0.9003
H3 0.7512 0.7464 0.6144
H4 0.8031 0.4958 0.1390
F1 0.3329 0.6270 0.9125
F2 0.3328 0.9774 0.3249
F3 0.4508 0.2911 0.8735
F4 0.5948 0.6726 0.0999
F5 0.6507 0.9115 0.7064
F6 0.8214 0.6286 0.5515
F7 0.9283 0.3682 0.1907
F8 0.9665 0.0823 0.5815

Record 14
A relaxed Li5Y4Hg6 crystal, computed with PBE-GGA.

abc: 11.6377 11.6377 15.3805
angles: 90.00 90.00 160.07
Atoms (fractional coordinates):
Li1 0.0403 0.9597 0.5000
Li2 0.1424 0.8576 0.8056
Li3 0.1710 0.8290 0.1025
Li4 0.1904 0.8096 0.4455
Li5 0.3242 0.6758 0.4578
Li6 0.6758 0.3242 0.9578
Li7 0.8096 0.1904 0.9455
Li8 0.8290 0.1710 0.6025
Li9 0.8576 0.1424 0.3056
Li10 0.9597 0.0403 0.0000
Y1 0.3186 0.6814 0.7723
Y2 0.3608 0.6392 0.1218
Y3 0.4503 0.5497 0.6120
Y4 0.4747 0.5253 0.3387
Y5 0.5253 0.4747 0.8387
Y6 0.5497 0.4503 0.1120
Y7 0.6392 0.3608 0.6218
Y8 0.6814 0.3186 0.2723
Hg1 0.0468 0.9532 0.6852
Hg2 0.0793 0.9207 0.2648
Hg3 0.0849 0.9151 0.9659
Hg4 0.2426 0.7574 0.6071
Hg5 0.2799 0.7201 0.2898
Hg6 0.3999 0.6001 0.9293
Hg7 0.6001 0.3999 0.4293
Hg8 0.7201 0.2799 0.7898
Hg9 0.7574 0.2426 0.1071
Hg10 0.9151 0.0849 0.4659
Hg11 0.9207 0.0793 0.7648
Hg12 0.9532 0.0468 0.1852

Computed properties:
The density of states at the Fermi level comes out at 22.9 states/eV/cell.

Record 15
A relaxed LiCa2Be3Si4 crystal, computed with PBE-GGA.

abc: 3.9426 3.9426 10.0429
angles: 90.00 90.00 90.00
Atoms (fractional coordinates):
Li1 0.0000 0.0000 0.0000
Ca1 0.0000 0.5000 0.7508
Ca2 0.5000 0.0000 0.2492
Be1 0.0000 0.5000 0.3655
Be2 0.5000 0.0000 0.6345
Be3 0.5000 0.5000 0.0000
Si1 0.0000 0.0000 0.5000
Si2 0.0000 0.5000 0.1388
Si3 0.5000 0.0000 0.8612
Si4 0.5000 0.5000 0.5000

Computed properties:
For the formation energy without anion corrections, the calculation gives -227 meV per atom. The density of states at the Fermi level comes out at 2.7 states/eV/cell.

Record 16
A relaxed TePPt2 crystal, computed with PBE-GGA.

abc: 3.9917 3.9917 8.8942
angles: 90.00 90.00 90.00
Atoms (fractional coordinates):
Te1 0.0000 0.0000 0.0000
Te2 0.5000 0.5000 0.5000
P1 0.0000 0.5000 0.7500
P2 0.5000 0.0000 0.2500
Pt1 0.0000 0.0000 0.5000
Pt2 0.0000 0.5000 0.2500
Pt3 0.5000 0.0000 0.7500
Pt4 0.5000 0.5000 0.0000

Computed properties:
For the formation energy without anion corrections, the calculation gives 256 meV per atom. The density of states at the Fermi level comes out at 4.0 states/eV/cell.

Record 17
A relaxed Er2TcNi crystal, computed with PBE-GGA.

abc: 3.4075 3.4075 6.6293
angles: 90.00 90.00 90.00
Atoms (fractional coordinates):
Er1 0.0000 0.0000 0.2491
Er2 0.0000 0.0000 0.7509
Tc1 0.5000 0.5000 0.5000
Ni1 0.5000 0.5000 0.0000

Computed properties:
The density of states at the Fermi level comes out at 5.0 states/eV/cell.

Record 18
A relaxed LiPrScGe crystal, computed with PBE-GGA.

abc: 7.0595 7.0595 7.0595
angles: 90.00 90.00 90.00
Atoms (fractional coordinates):
Li1 0.0000 0.0000 0.0000
Li2 0.0000 0.5000 0.5000
Li3 0.5000 0.0000 0.5000
Li4 0.5000 0.5000 0.0000
Pr1 0.2500 0.2500 0.2500
Pr2 0.2500 0.7500 0.7500
Pr3 0.7500 0.2500 0.7500
Pr4 0.7500 0.7500 0.2500
Sc1 0.2500 0.2500 0.7500
Sc2 0.2500 0.7500 0.2500
Sc3 0.7500 0.2500 0.2500
Sc4 0.7500 0.7500 0.7500
Ge1 0.0000 0.0000 0.5000
Ge2 0.0000 0.5000 0.0000
Ge3 0.5000 0.0000 0.0000
Ge4 0.5000 0.5000 0.5000

Computed properties:
The density of states at the Fermi level comes out at 8.9 states/eV/cell.

Record 19
A relaxed BaCu2Mo crystal, computed with PBE-GGA.

abc: 2.9887 5.1671 10.1187
angles: 90.00 90.00 90.00
Atoms (fractional coordinates):
Ba1 0.0000 0.0000 0.0000
Ba2 0.5000 0.5000 0.5000
Cu1 0.0000 0.0000 0.4788
Cu2 0.0000 0.5000 0.7762
Cu3 0.5000 0.0000 0.2762
Cu4 0.5000 0.5000 0.9788
Mo1 0.0000 0.5000 0.2071
Mo2 0.5000 0.0000 0.7071

Computed properties:
The density of states at the Fermi level comes out at 7.7 states/eV/cell.

Record 20
A relaxed Na12In7Ga crystal, computed with PBE-GGA.

abc: 8.5063 8.5063 8.5063
angles: 102.35 102.35 102.35
Atoms (fractional coordinates):
Na1 0.0019 0.7391 0.2615
Na2 0.1717 0.1744 0.4182
Na3 0.1744 0.4182 0.1717
Na4 0.2609 0.7385 0.9981
Na5 0.2615 0.0019 0.7391
Na6 0.4182 0.1717 0.1744
Na7 0.5818 0.8283 0.8256
Na8 0.7385 0.9981 0.2609
Na9 0.7391 0.2615 0.0019
Na10 0.8256 0.5818 0.8283
Na11 0.8283 0.8256 0.5818
Na12 0.9981 0.2609 0.7385
In1 0.0000 0.0000 0.0000
In2 0.1870 0.5918 0.5890
In3 0.4082 0.4110 0.8130
In4 0.4110 0.8130 0.4082
In5 0.5890 0.1870 0.5918
In6 0.5918 0.5890 0.1870
In7 0.8130 0.4082 0.4110
Ga1 0.5000 0.5000 0.5000

Computed properties:
The density of states at the Fermi level comes out at 8.0 states/eV/cell.

Record 21
A relaxed TcMo2Ru2 crystal, computed with PBE-GGA.

abc: 3.7774 3.7774 11.6220
angles: 90.00 90.00 90.00
Atoms (fractional coordinates):
Tc1 0.0000 0.0000 0.0000
Tc2 0.5000 0.5000 0.5000
Mo1 0.0000 0.5000 0.2500
Mo2 0.0000 0.5000 0.7500
Mo3 0.5000 0.0000 0.2500
Mo4 0.5000 0.0000 0.7500
Ru1 0.0000 0.0000 0.3996
Ru2 0.0000 0.0000 0.6004
Ru3 0.5000 0.5000 0.1004
Ru4 0.5000 0.5000 0.8996

Computed properties:
The density of states at the Fermi level comes out at 12.3 states/eV/cell.

Record 22
A relaxed LiErThNi crystal, computed with PBE-GGA.

abc: 7.0333 7.0333 7.0333
angles: 90.00 90.00 90.00
Atoms (fractional coordinates):
Li1 0.0000 0.0000 0.0000
Li2 0.0000 0.5000 0.5000
Li3 0.5000 0.0000 0.5000
Li4 0.5000 0.5000 0.0000
Er1 0.2500 0.2500 0.2500
Er2 0.2500 0.7500 0.7500
Er3 0.7500 0.2500 0.7500
Er4 0.7500 0.7500 0.2500
Th1 0.2500 0.2500 0.7500
Th2 0.2500 0.7500 0.2500
Th3 0.7500 0.2500 0.2500
Th4 0.7500 0.7500 0.7500
Ni1 0.0000 0.0000 0.5000
Ni2 0.0000 0.5000 0.0000
Ni3 0.5000 0.0000 0.0000
Ni4 0.5000 0.5000 0.5000

Computed properties:
The density of states at the Fermi level comes out at 19.2 states/eV/cell.

Record 23
A relaxed CoTeAu2 crystal, computed with PBE-GGA.

abc: 4.2121 4.2211 8.9342
angles: 90.00 90.00 90.00
Atoms (fractional coordinates):
Co1 0.0000 0.0000 0.0000
Co2 0.5000 0.5000 0.0000
Te1 0.0000 0.0000 0.5000
Te2 0.5000 0.5000 0.5000
Au1 0.0000 0.5000 0.1885
Au2 0.0000 0.5000 0.8115
Au3 0.5000 0.0000 0.1885
Au4 0.5000 0.0000 0.8115

Computed properties:
For the formation energy without anion corrections, the calculation gives 336 meV per atom. The density of states at the Fermi level comes out at 8.0 states/eV/cell.

Record 24
A relaxed Hg2SeBr crystal, computed with PBE-GGA.

abc: 7.8600 4.3718 7.7651
angles: 90.00 107.28 90.00
Atoms (fractional coordinates):
Hg1 0.0000 0.0000 0.0000
Hg2 0.0730 0.0000 0.6635
Hg3 0.5000 0.5000 0.0000
Hg4 0.5730 0.5000 0.6635
Se1 0.2094 0.5000 0.5639
Se2 0.7094 0.0000 0.5639
Br1 0.3814 0.0000 0.2000
Br2 0.8814 0.5000 0.2000

Computed properties:
For the formation energy without anion corrections, the calculation gives -88 meV per atom. The density of states at the Fermi level comes out at 2.9 states/eV/cell.

Record 25
A relaxed RbLa3Y crystal, computed with PBE-GGA.

abc: 5.7880 5.7880 5.7880
angles: 90.00 90.00 90.00
Atoms (fractional coordinates):
Rb1 0.0000 0.0000 0.0000
La1 0.0000 0.0000 0.5000
La2 0.0000 0.5000 0.0000
La3 0.5000 0.0000 0.0000
Y1 0.5000 0.5000 0.5000

Computed properties:
The density of states at the Fermi level comes out at 9.4 states/eV/cell.

In μB/f.u., the size of the total moment values for the records above are, in order, 0.00; 0.00; 0.00; 0.00; 0.00; 0.00; 0.00; 1.87; 0.00; 0.00; 0.00; 0.00; 1.01; 0.00; 0.00; 0.00; 0.00; 0.00; 0.86; 0.00; 0.59; 0.00; 2.04; 0.00; 0.00.
In eV per formula unit, the total DFT energy (no corrections) values for the records above are, in order, -22.46; -24.20; -8.90; -24.33; -59.17; -36.90; -18.75; -24.06; -52.75; -19.29; -31.44; -35.65; -27.30; -42.19; -41.06; -19.61; -26.06; -19.24; -17.52; -39.46; -46.92; -19.83; -15.46; -6.11; -17.34.